(1)
The following is a PBE calculation of an optimized crystal structure of BaHgC3, from the Alexandria database.

a = 4.536 Å, b = 4.536 Å, c = 4.536 Å
α = 90.00°, β = 90.00°, γ = 90.00°
Space group Pm-3m (No. 221)
Unique sites:
Ba: 0.000 0.000 0.000 (multiplicity 1)
Hg: 0.500 0.500 0.500 (multiplicity 1)
C: 0.000 0.500 0.500 (multiplicity 3)

DOS at the Fermi energy ... 1.030 states/eV per atom
ΔH_f (0 K) ... 2.557 eV/atom
Excess energy over the best structure of this formula in the dataset ... 0 meV/atom
Raw total energy ... -17.1 eV per cell

***

(2)
The following is a PBE calculation of an optimized crystal structure of InRuS, from the Alexandria database.

a = 6.303 Å, b = 6.471 Å, c = 6.484 Å
α = 90.00°, β = 118.54°, γ = 90.00°
Space group P2_1 (No. 4)
Unique sites:
In: 0.139 0.000 0.029 (multiplicity 2)
In: 0.344 0.516 0.948 (multiplicity 2)
Ru: 0.220 0.166 0.678 (multiplicity 2)
Ru: 0.281 0.674 0.322 (multiplicity 2)
S: 0.156 0.802 0.582 (multiplicity 2)
S: 0.375 0.359 0.503 (multiplicity 2)

DOS at the Fermi energy ... 0.275 states/eV per atom
ΔE_f (raw) ... -0.214 eV/atom
Raw total energy ... -67.1 eV per cell

***

(3)
The following is a PBE calculation of an optimized crystal structure of TbPm2Ge, from the Alexandria database.

a = 5.520 Å, b = 6.461 Å, c = 6.051 Å
α = 90.00°, β = 90.00°, γ = 90.00°
Space group Pmmn (No. 59, origin choice 2)
Unique sites:
Tb: 0.250 0.250 0.110 (multiplicity 2)
Pm: 0.250 0.000 0.638 (multiplicity 4)
Ge: 0.250 0.750 0.159 (multiplicity 2)

DOS at the Fermi energy ... 0.874 states/eV per atom
ΔH_f (0 K) ... -0.294 eV/atom
Excess energy over the best structure of this formula in the dataset ... 45 meV/atom
Raw total energy ... -39.8 eV per cell

***

(4)
The following is a PBE calculation of an optimized crystal structure of HoTlAgHg, from the Alexandria database.

a = 7.176 Å, b = 7.176 Å, c = 7.176 Å
α = 90.00°, β = 90.00°, γ = 90.00°
Space group F-43m (No. 216)
Unique sites:
Ho: 0.000 0.000 0.000 (multiplicity 4)
Tl: 0.250 0.250 0.750 (multiplicity 4)
Ag: 0.000 0.000 0.500 (multiplicity 4)
Hg: 0.250 0.250 0.250 (multiplicity 4)

DOS at the Fermi energy ... 0.642 states/eV per atom
ΔH_f (0 K) ... -0.224 eV/atom
Raw total energy ... -44.0 eV per cell

***

(5)
The following is a PBE calculation of an optimized crystal structure of ReMoPd6, from the Alexandria database.

a = 4.459 Å, b = 5.548 Å, c = 9.823 Å
α = 90.00°, β = 90.00°, γ = 90.00°
Space group Amm2 (No. 38)
Unique sites:
Re: 0.000 0.000 0.000 (multiplicity 2)
Mo: 0.500 0.000 0.840 (multiplicity 2)
Pd: 0.000 0.000 0.499 (multiplicity 2)
Pd: 0.000 0.248 0.749 (multiplicity 4)
Pd: 0.500 0.000 0.337 (multiplicity 2)
Pd: 0.500 0.248 0.086 (multiplicity 4)

DOS at the Fermi energy ... 1.032 states/eV per atom
ΔH_f (0 K) ... 0.040 eV/atom
Raw total energy ... -108.2 eV per cell

***

(6)
The following is a PBE calculation of an optimized crystal structure of Ba2SrCaCd, from the Alexandria database.

a = 6.628 Å, b = 6.628 Å, c = 6.503 Å
α = 90.00°, β = 90.00°, γ = 90.00°
Space group P4/mmm (No. 123)
Unique sites:
Ba: 0.000 0.500 0.000 (multiplicity 2)
Sr: 0.000 0.000 0.500 (multiplicity 1)
Ca: 0.500 0.500 0.500 (multiplicity 1)
Cd: 0.000 0.000 0.000 (multiplicity 1)

DOS at the Fermi energy ... 1.289 states/eV per atom
ΔH_f (0 K) ... 0.049 eV/atom
Excess energy over the best structure of this formula in the dataset ... 46 meV/atom
Raw total energy ... -8.2 eV per cell

***

(7)
The following is a PBE calculation of an optimized crystal structure of Na5Zn4Au4, from the Alexandria database.

a = 11.225 Å, b = 11.225 Å, c = 4.507 Å
α = 90.00°, β = 90.00°, γ = 90.00°
Space group I4/m (No. 87)
Unique sites:
Na: 0.000 0.000 0.000 (multiplicity 2)
Na: 0.146 0.196 0.500 (multiplicity 8)
Zn: 0.049 0.613 0.500 (multiplicity 8)
Au: 0.041 0.730 0.000 (multiplicity 8)

DOS at the Fermi energy ... 0.199 states/eV per atom
ΔH_f (0 K) ... -0.238 eV/atom
Raw total energy ... -55.8 eV per cell